No. 1
An optimized crystal structure of GeSbAuI2, computed with PBE. Values from VASP.

Its energy above the most stable polymorph in this dataset is 0.018 eV/atom. The calculation puts the total energy at -2.4006 eV per atom. The uncorrected formation energy is 3.1 eV/f.u.

Geometry as Quantum ESPRESSO input:
```
&SYSTEM
  ibrav = 0, nat = 5, ntyp = 4
/
ATOMIC_SPECIES
Sb 121.76 Sb.upf
I 126.90 I.upf
Ge 72.64 Ge.upf
Au 196.97 Au.upf
ATOMIC_POSITIONS crystal
Sb 0.000 0.000 0.500
I 0.000 0.500 0.000
I 0.500 0.000 0.000
Ge 0.000 0.000 0.000
Au 0.500 0.500 0.500
CELL_PARAMETERS angstrom
-5.196 0.510 -1.909
1.419 -2.776 -4.603
-1.399 -4.873 2.508
```


No. 2
An optimized crystal structure of GeSb2AuI, computed with PBE. Values from VASP.

Its energy above the most stable polymorph in this dataset is 0.044 eV/atom. The calculation puts the total energy at -2.7694 eV per atom. The uncorrected formation energy is 3.8 eV/f.u.

Geometry as Quantum ESPRESSO input:
```
&SYSTEM
  ibrav = 0, nat = 5, ntyp = 4
/
ATOMIC_SPECIES
Sb 121.76 Sb.upf
I 126.90 I.upf
Au 196.97 Au.upf
Ge 72.64 Ge.upf
ATOMIC_POSITIONS crystal
Sb 0.000 0.500 0.000
Sb 0.500 0.000 0.000
I 0.000 0.000 0.500
Au 0.500 0.500 0.500
Ge 0.000 0.000 0.000
CELL_PARAMETERS angstrom
5.409 0.000 0.000
0.000 5.409 0.000
0.000 0.000 5.502
```